1.
Below is an optimized crystal structure of KPu2O7, with properties calculated at the GGA-PBE level.

## Properties
Formation energy from raw total energies = -2288 meV/atom

Cell: 6.3187 12.8999 4.1602 Å, 90.00 90.00 90.00°
With the nearest neighbours (Å) after each atom.
Space group Cmmm (No. 65)
Unique sites:
K  0.0000  0.0000  0.0000 x2  8 O 3.14
Pu  0.0000  0.3388  0.5000 x4  5 O 1.86-2.08
O  0.0000  0.3370  0.0000 x4  2 Pu 2.08
O  0.0000  0.5000  0.5000 x2  2 Pu 2.08
O  0.2063  0.1524  0.5000 x8  1 Pu 1.86



2.
Below is an optimized crystal structure of SmIrRh3, with properties calculated at the GGA-PBE level.

## Properties
Energy of formation = 0.239 eV per atom

Cell: 6.4769 13.5675 4.7945 Å, 90.00 90.00 90.00°
With the nearest neighbours (Å) after each atom.
Space group Cmcm (No. 63)
Unique sites:
Sm  0.0000  0.0994  0.2500 x4  2 Rh 2.59
Ir  0.0000  0.3326  0.2500 x4  4 Rh 2.50-2.57
Rh  0.0000  0.5000  0.0000 x4  2 Rh 2.40, 2 Ir 2.57
Rh  0.1924  0.2783  0.7500 x8  3 Rh 2.49-2.63, 1 Ir 2.50, 1 Sm 2.59



3.
Below is an optimized crystal structure of Y3NpTl4S8, with properties calculated at the GGA-PBE level.

## Properties
Formation energy from raw total energies = -1365 meV/atom

Cell: 8.0955 8.0955 22.5602 Å, 90.00 90.00 120.00°
With the nearest neighbours (Å) after each atom.
Space group R-3m (No. 166, hexagonal axes)
Unique sites:
Y  0.0000  0.5000  0.0000 x9  6 S 2.77
Np  0.0000  0.0000  0.0000 x3  6 S 2.78
Tl  0.0000  0.0000  0.5000 x3  6 S 3.25
Tl  0.0000  0.5000  0.5000 x9  6 S 3.26
S  0.0000  0.0000  0.2674 x6  3 Y 2.77
S  0.0013  0.5006  0.2674 x18  2 Y 2.77, 1 Np 2.78



4.
Below is an optimized crystal structure of SrHf2AgPb, with properties calculated at the GGA-PBE level.

## Properties
Energy of formation = 1.121 eV per atom

Cell: 5.4222 5.4222 6.0984 Å, 90.00 90.00 90.00°
With the nearest neighbours (Å) after each atom.
Space group P4/mmm (No. 123)
Unique sites:
Sr  0.0000  0.0000  0.0000 x1  2 Pb 3.05
Hf  0.0000  0.5000  0.5000 x2  2 Pb 2.71
Ag  0.5000  0.5000  0.0000 x1  4 Sr 3.83, 8 Hf 4.08
Pb  0.0000  0.0000  0.5000 x1  4 Hf 2.71



5.
Below is an optimized crystal structure of ZrAlFe2, with properties calculated at the GGA-PBE level.

## Properties
Energy of formation = 0.331 eV per atom

Cell: 6.8991 6.8991 5.4217 Å, 90.00 90.00 90.00°
With the nearest neighbours (Å) after each atom.
Space group I-42d (No. 122)
Unique sites:
Zr  0.0000  0.0000  0.0000 x4  4 Fe 2.64, 2 Al 2.71
Al  0.0000  0.0000  0.5000 x4  4 Fe 2.43, 2 Zr 2.71
Fe  0.2277  0.2500  0.6250 x8  2 Al 2.43, 2 Zr 2.64



6.
Below is an optimized crystal structure of Al2B3HO8, with properties calculated at the GGA-PBE level.

Cell: 7.7114 10.6159 8.8793 Å, 90.00 90.00 90.00°
With the nearest neighbours (Å) after each atom.
Space group Pnma (No. 62)
Unique sites:
Al  0.0601  0.1140  0.0710 x8  5 O 1.76-1.90
B  0.2308  0.7500  0.3437 x4  3 O 1.37-1.38
B  0.2465  0.0195  0.8017 x8  3 O 1.34-1.40
H  0.1734  0.7500  0.8114 x4  1 O 0.98
O  0.0720  0.7500  0.8772 x4  1 H 0.98
O  0.1177  0.0069  0.9122 x8  1 B 1.40
O  0.1769  0.2500  0.9759 x4  1 B 1.37
O  0.1826  0.6388  0.2753 x8  2 B 1.38-1.40
O  0.2021  0.0808  0.2215 x8  1 B 1.34



7.
Below is an optimized crystal structure of PmMgSb2, with properties calculated at the GGA-PBE level.

## Properties
Energy above the lowest structure with this stoichiometry = 0.5220 eV per atom
Formation energy from raw total energies = -183 meV/atom

Cell: 3.4306 3.4306 34.1091 Å, 90.00 90.00 120.00°
With the nearest neighbours (Å) after each atom.
Space group R-3m (No. 166, hexagonal axes)
Unique sites:
Pm  0.0000  0.0000  0.0000 x3  6 Sb 3.32, 6 Pm 3.43
Mg  0.0000  0.0000  0.5000 x3  2 Sb 3.02
Sb  0.0000  0.0000  0.4114 x6  1 Mg 3.02, 3 Pm 3.32



8.
Below is an optimized crystal structure of Ta2Si2P, with properties calculated at the GGA-PBE level.

## Properties
Formation energy from raw total energies = -274 meV/atom

Cell: 6.7573 6.7573 3.5416 Å, 90.00 90.00 90.00°
With the nearest neighbours (Å) after each atom.
Space group P4/mbm (No. 127)
Unique sites:
Ta  0.1659  0.3341  0.0000 x4  2 P 2.52, 6 Si 2.64-2.68
Si  0.1298  0.6298  0.5000 x4  1 Si 2.48, 6 Ta 2.64-2.68
P  0.0000  0.0000  0.0000 x2  4 Ta 2.52



9.
Below is an optimized crystal structure of KSc2CdO, with properties calculated at the GGA-PBE level.

## Properties
Energy above the lowest structure with this stoichiometry = 0.2301 eV per atom
Formation energy from raw total energies = -661 meV/atom

Cell: 4.3616 4.3616 6.7961 Å, 90.00 90.00 90.00°
With the nearest neighbours (Å) after each atom.
Space group P4/mmm (No. 123)
Unique sites:
K  0.0000  0.0000  0.0000 x1  4 Cd 3.08
Sc  0.0000  0.5000  0.5000 x2  2 O 2.18
Cd  0.5000  0.5000  0.0000 x1  4 K 3.08, 2 O 3.40
O  0.5000  0.5000  0.5000 x1  4 Sc 2.18



10.
Below is an optimized crystal structure of TaMnCo2, with properties calculated at the GGA-PBE level.

## Properties
Energy above the lowest structure with this stoichiometry = 0.1503 eV per atom
Energy of formation = 0.001 eV per atom

Cell: 3.0540 3.0540 5.5729 Å, 90.00 90.00 90.00°
With the nearest neighbours (Å) after each atom.
Space group P4mm (No. 99)
Unique sites:
Ta  0.0000  0.0000  0.0000 x1  6 Co 2.56-2.80, 4 Mn 2.65
Mn  0.5000  0.5000  0.7229 x1  5 Co 2.50-2.65, 4 Ta 2.65
Co  0.0000  0.0000  0.4973 x1  4 Mn 2.50, 4 Co 2.57, 1 Ta 2.77
Co  0.5000  0.5000  0.2476 x1  4 Ta 2.56, 4 Co 2.57, 1 Mn 2.65



11.
Below is an optimized crystal structure of TlSbIr2, with properties calculated at the GGA-PBE level.

## Properties
Energy above the lowest structure with this stoichiometry = 0.1598 eV per atom
Formation energy from raw total energies = 476 meV/atom

Cell: 6.6560 6.6560 6.6560 Å, 90.00 90.00 90.00°
With the nearest neighbours (Å) after each atom.
Space group Fm-3m (No. 225)
Unique sites:
Tl  0.0000  0.0000  0.0000 x4  8 Ir 2.88
Sb  0.0000  0.0000  0.5000 x4  8 Ir 2.88
Ir  0.2500  0.2500  0.2500 x8  4 Tl 2.88, 4 Sb 2.88



12.
Below is an optimized crystal structure of NiAsBr2N, with properties calculated at the GGA-PBE level.

## Properties
Energy above the lowest structure with this stoichiometry = 0.0000 eV per atom
Formation energy from raw total energies = 1319 meV/atom

Cell: 4.4622 4.4622 4.5542 Å, 90.00 90.00 90.00°
With the nearest neighbours (Å) after each atom.
Space group P4/mmm (No. 123)
Unique sites:
Ni  0.0000  0.0000  0.0000 x1  4 As 3.16, 8 Br 3.19
As  0.5000  0.5000  0.0000 x1  2 N 2.28
Br  0.0000  0.5000  0.5000 x2  2 N 2.23
N  0.5000  0.5000  0.5000 x1  4 Br 2.23, 2 As 2.28



13.
Below is an optimized crystal structure of TcBi3Br, with properties calculated at the GGA-PBE level.

## Properties
Energy above the lowest structure with this stoichiometry = 1.1362 eV per atom
Formation energy from raw total energies = 1489 meV/atom

Cell: 5.6117 5.6117 5.6117 Å, 90.00 90.00 90.00°
With the nearest neighbours (Å) after each atom.
Space group Pm-3m (No. 221)
Unique sites:
Tc  0.0000  0.0000  0.0000 x1  12 Bi 3.97
Bi  0.0000  0.5000  0.5000 x3  2 Br 2.81
Br  0.5000  0.5000  0.5000 x1  6 Bi 2.81



14.
Below is an optimized crystal structure of TaZnCu, with properties calculated at the GGA-PBE level.

## Properties
Energy of formation = 0.301 eV per atom

Cell: 5.7997 5.7997 5.7997 Å, 90.00 90.00 90.00°
With the nearest neighbours (Å) after each atom.
Space group F-43m (No. 216)
Unique sites:
Ta  0.0000  0.0000  0.0000 x4  4 Cu 2.51
Zn  0.0000  0.0000  0.5000 x4  4 Cu 2.51
Cu  0.2500  0.2500  0.7500 x4  4 Ta 2.51, 4 Zn 2.51



15.
Below is an optimized crystal structure of Pm2Hg6Pb, with properties calculated at the GGA-PBE level.

## Properties
Energy above the lowest structure with this stoichiometry = 0.0468 eV per atom
Energy of formation = -0.224 eV per atom

Cell: 11.8077 6.8148 5.9490 Å, 90.00 90.03 90.00°
With the nearest neighbours (Å) after each atom.
Space group C2/m (No. 12)
Unique sites:
Pm  0.1673  0.0000  0.3154 x4  12 Hg 3.37-3.53
Hg  0.0933  0.2200  0.8289 x8  1 Pb 2.95, 4 Hg 3.00-3.01
Hg  0.1869  0.5000  0.1724 x4  1 Pb 2.94, 4 Hg 3.00-3.01
Pb  0.0000  0.5000  0.5000 x2  6 Hg 2.94-2.95



16.
Below is an optimized crystal structure of LaP2Pt, with properties calculated at the GGA-PBE level.

## Properties
Energy above the lowest structure with this stoichiometry = 0.3669 eV per atom
Energy of formation = -0.639 eV per atom

Cell: 3.6937 3.7064 11.6513 Å, 90.00 90.00 90.00°
With the nearest neighbours (Å) after each atom.
Space group Imm2 (No. 44)
Unique sites:
La  0.0000  0.0000  0.0000 x2  6 P 2.92-2.98
P  0.0000  0.0000  0.3883 x2  2 Pt 2.44
P  0.0000  0.5000  0.2003 x2  4 Pt 2.68, 2 P 2.87, 2 La 2.98
Pt  0.0000  0.5000  0.7519 x2  6 P 2.44-2.68



17.
Below is an optimized crystal structure of ScTeH3, with properties calculated at the GGA-PBE level.

## Properties
Energy above the lowest structure with this stoichiometry = 0.7046 eV per atom

Cell: 4.0368 4.0368 4.0368 Å, 90.00 90.00 90.00°
With the nearest neighbours (Å) after each atom.
Space group Pm-3m (No. 221)
Unique sites:
Sc  0.0000  0.0000  0.0000 x1  12 H 2.85
Te  0.5000  0.5000  0.5000 x1  6 H 2.02
H  0.0000  0.5000  0.5000 x3  2 Te 2.02



18.
Below is an optimized crystal structure of LaCu4Cl, with properties calculated at the GGA-PBE level.

## Properties
Formation energy from raw total energies = -130 meV/atom

Cell: 7.4525 7.4525 7.4525 Å, 90.00 90.00 90.00°
With the nearest neighbours (Å) after each atom.
Space group F-43m (No. 216)
Unique sites:
La  0.0000  0.0000  0.0000 x4  12 Cu 3.09, 4 Cl 3.23
Cu  0.1243  0.1243  0.3757 x16  6 Cu 2.62-2.65
Cl  0.2500  0.2500  0.7500 x4  12 Cu 3.09, 4 La 3.23



19.
Below is an optimized crystal structure of LaNd2Sm2Dy2, with properties calculated at the GGA-PBE level.

## Properties
Energy of formation = 0.021 eV per atom

Cell: 11.4829 5.1440 8.1637 Å, 90.00 98.09 90.00°
With the nearest neighbours (Å) after each atom.
Space group C2/m (No. 12)
Unique sites:
La  0.0000  0.0000  0.0000 x2  6 Dy 3.63-3.64, 4 Sm 3.64, 2 Nd 3.66
Nd  0.1427  0.0000  0.4301 x4  3 Nd 3.62-3.63, 3 Dy 3.64-3.65, 5 Sm 3.64-3.65, 1 La 3.66
Sm  0.0724  0.5000  0.7162 x4  4 Dy 3.62-3.64, 2 La 3.64, 5 Nd 3.64-3.65, 1 Sm 3.68
Dy  0.2149  0.5000  0.1428 x4  4 Sm 3.62-3.64, 3 La 3.63-3.64, 3 Nd 3.64-3.65, 2 Dy 3.64



20.
Below is an optimized crystal structure of LaPmPr2Bi4, with properties calculated at the GGA-PBE level.

## Properties
Energy of formation = -0.978 eV per atom

Cell: 8.0400 4.6467 8.0419 Å, 90.00 109.46 90.00°
With the nearest neighbours (Å) after each atom.
Space group P2/m (No. 10)
Unique sites:
La  0.0000  0.0000  0.0000 x1  6 Bi 3.29
Pm  0.5000  0.5000  0.0000 x1  6 Bi 3.27
Pr  0.0000  0.5000  0.5000 x1  6 Bi 3.30
Pr  0.5000  0.0000  0.5000 x1  6 Bi 3.27
Bi  0.2533  0.0000  0.7519 x2  2 Pm 3.27, 3 Pr 3.27-3.30, 1 La 3.29
Bi  0.2527  0.5000  0.2502 x2  1 Pm 3.27, 3 Pr 3.27-3.30, 2 La 3.29



Number 1: E_tot -8.74 eV/atom, D(E_F) 0.38 states/eV per atom. Number 2: E_tot -6.89 eV/atom, D(E_F) 1.15 states/eV per atom. Number 3: E_tot -6.04 eV/atom, D(E_F) 0.39 states/eV per atom. Number 4: E_tot -4.51 eV/atom, D(E_F) 1.37 states/eV per atom. Number 5: E_tot -6.97 eV/atom, D(E_F) 1.13 states/eV per atom. Number 6: E_tot -7.56 eV/atom, D(E_F) 0.00 states/eV per atom. Number 7: E_tot -3.83 eV/atom, D(E_F) 1.01 states/eV per atom. Number 8: E_tot -8.27 eV/atom, D(E_F) 0.58 states/eV per atom. Number 9: E_tot -4.59 eV/atom, D(E_F) 1.38 states/eV per atom. Number 10: E_tot -8.81 eV/atom, D(E_F) 1.09 states/eV per atom. Number 11: E_tot -5.58 eV/atom, D(E_F) 1.47 states/eV per atom. Number 12: E_tot -3.10 eV/atom, D(E_F) 0.92 states/eV per atom. Number 13: E_tot -3.25 eV/atom, D(E_F) 0.97 states/eV per atom. Number 14: E_tot -5.44 eV/atom, D(E_F) 0.09 states/eV per atom. Number 15: E_tot -1.89 eV/atom, D(E_F) 0.61 states/eV per atom. Number 16: E_tot -6.09 eV/atom, D(E_F) 0.68 states/eV per atom. Number 17: E_tot -3.22 eV/atom, D(E_F) 0.80 states/eV per atom. Number 18: E_tot -3.99 eV/atom, D(E_F) 0.68 states/eV per atom. Number 19: E_tot -4.71 eV/atom, D(E_F) 1.53 states/eV per atom. Number 20: E_tot -5.32 eV/atom, D(E_F) 0.13 states/eV per atom.